[1]
DFT (GGA-PBE) results for a relaxed LaTaPt2 crystal.

Output
The energy above the most stable polymorph in this dataset is 0.1848 eV/atom. The electronic total energy comes out at -31.2 eV per formula unit. The density of states at the Fermi level is 3.47 states/eV per cell. For the energy relative to the elements, the calculation gives -590 meV per atom.

Cell: 4.413 4.413 6.137 Å, 107.64 107.64 59.82°
Atoms (fractional coordinates):
La: 0.000 0.000 0.000
Ta: 0.792 0.792 0.448
Pt: 0.163 0.163 0.578
Pt: 0.426 0.426 0.327

***

[2]
DFT (GGA-PBE) results for a relaxed LuZrHgOs crystal.

Output
The electronic total energy comes out at -25.6 eV per formula unit. The density of states at the Fermi level is 3.01 states/eV per cell. For the energy relative to the elements, the calculation gives -249 meV per atom.

Cell: 4.860 4.860 4.860 Å, 60.00 60.00 60.00°
Atoms (fractional coordinates):
Lu: 0.000 0.000 0.000
Zr: 0.500 0.500 0.500
Hg: 0.750 0.750 0.750
Os: 0.250 0.250 0.250

***

- Which formula does entry 2 have?
  LuZrHgOs